1.
# RbHfHg | OQMD | GGA-PBE | relaxed
# Magnetization ... 8.83 μB per cell
# Volume ... 478.5 Å³ per cell
data_RbHfHg
_chemical_formula_sum 'Rb4 Hf4 Hg4'
_space_group_name_H-M_alt 'F -4 3 m'
_space_group_IT_number 216
_space_group_name_Hall 'F -4 2 3'
_cell_length_a 7.821
_cell_length_b 7.821
_cell_length_c 7.821
_cell_angle_alpha 90.00
_cell_angle_beta 90.00
_cell_angle_gamma 90.00
loop_
_atom_site_label
_atom_site_type_symbol
_atom_site_fract_x
_atom_site_fract_y
_atom_site_fract_z
_atom_site_occupancy
Rb1 Rb 0.000 0.000 0.000 1
Hf1 Hf 0.250 0.250 0.750 1
Hg1 Hg 0.250 0.250 0.250 1

---

2.
# La2AsPPd2O2 | OQMD | GGA-PBE | relaxed
# Magnetization ... 0.00 μB per cell
# Volume ... 146.1 Å³ per cell
data_La2AsPPd2O2
_chemical_formula_sum 'La2 As1 P1 Pd2 O2'
_space_group_name_H-M_alt 'P 4 m m'
_space_group_IT_number 99
_cell_length_a 4.201
_cell_length_b 4.201
_cell_length_c 8.277
_cell_angle_alpha 90.00
_cell_angle_beta 90.00
_cell_angle_gamma 90.00
loop_
_space_group_symop_operation_xyz
'x,y,z'
'-y,x,z'
'-x,-y,z'
'y,-x,z'
'-x,y,z'
'y,x,z'
'x,-y,z'
'-y,-x,z'
loop_
_atom_site_label
_atom_site_type_symbol
_atom_site_fract_x
_atom_site_fract_y
_atom_site_fract_z
_atom_site_occupancy
La1 La 0.000 0.000 0.000 1
La2 La 0.500 0.500 0.280 1
As1 As 0.000 0.000 0.481 1
P1 P 0.500 0.500 0.789 1
Pd1 Pd 0.000 0.500 0.649 1
O1 O 0.000 0.500 0.140 1

---

3.
# DyMgAlPd | OQMD | GGA-PBE | relaxed
# Magnetization ... 0.07 μB per cell
# Volume ... 414.7 Å³ per cell
data_DyMgAlPd
_chemical_formula_sum 'Dy4 Mg4 Al4 Pd4'
_space_group_name_H-M_alt 'C m m 2'
_space_group_IT_number 35
_cell_length_a 4.859
_cell_length_b 17.074
_cell_length_c 4.998
_cell_angle_alpha 90.00
_cell_angle_beta 90.00
_cell_angle_gamma 90.00
loop_
_space_group_symop_operation_xyz
'x,y,z'
'-x,-y,z'
'-x,y,z'
'x,-y,z'
'x+1/2,y+1/2,z'
'-x+1/2,-y+1/2,z'
'-x+1/2,y+1/2,z'
'x+1/2,-y+1/2,z'
loop_
_atom_site_label
_atom_site_type_symbol
_atom_site_fract_x
_atom_site_fract_y
_atom_site_fract_z
_atom_site_occupancy
Dy1 Dy 0.000 0.118 0.000 1
Mg1 Mg 0.000 0.291 0.378 1
Al1 Al 0.000 0.429 0.638 1
Pd1 Pd 0.000 0.298 0.879 1

---

no.,electronic total energy (eV/cell)
1,-25.05
2,-55.64
3,-61.06